(1)
La7TbHo4 after structural relaxation. Source: Alexandria, functional PBE.

calculated total energy: -0.3508 Ry per atom
energy of formation from the pure elements: 13 meV per atom
total magnetic moment: 0.000 μB/atom

a = 6.404 Å, b = 7.348 Å, c = 9.088 Å
α = 89.93°, β = 76.36°, γ = 89.93°
Space group P-1 (No. 2)
Symmetry-distinct sites (fractional):
La1 0.000 0.000 0.000 (multiplicity 1)
La2 0.223 0.000 0.334 (multiplicity 2)
La3 0.281 0.748 0.664 (multiplicity 2)
La4 0.499 0.744 0.003 (multiplicity 2)
Tb1 0.000 0.500 0.000 (multiplicity 1)
Ho1 0.216 0.501 0.335 (multiplicity 2)
Ho2 0.277 0.258 0.668 (multiplicity 2)

(2)
La3Tb4Ho5 after structural relaxation. Source: Alexandria, functional PBE.

calculated total energy: -0.3263 Ry per atom
energy of formation from the pure elements: 243 meV per atom
total magnetic moment: 0.002 μB/atom

a = 16.077 Å, b = 5.977 Å, c = 9.348 Å
α = 90.00°, β = 116.38°, γ = 90.00°
Space group C2/m (No. 12)
Symmetry-distinct sites (fractional):
La1 0.000 0.000 0.000 (multiplicity 2)
La2 0.208 0.500 0.229 (multiplicity 4)
Tb1 0.082 0.500 0.441 (multiplicity 4)
Tb2 0.206 0.500 0.874 (multiplicity 4)
Ho1 0.000 0.500 0.000 (multiplicity 2)
Ho2 0.073 0.000 0.696 (multiplicity 4)
Ho3 0.172 0.000 0.390 (multiplicity 4)

(3)
La3Tb2Ho3 after structural relaxation. Source: Alexandria, functional PBE.

calculated total energy: -0.3404 Ry per atom
energy of formation from the pure elements: 91 meV per atom
total magnetic moment: 0.000 μB/atom

a = 16.594 Å, b = 5.783 Å, c = 6.065 Å
α = 90.00°, β = 110.73°, γ = 90.00°
Space group C2/m (No. 12)
Symmetry-distinct sites (fractional):
La1 0.000 0.000 0.000 (multiplicity 2)
La2 0.136 0.000 0.698 (multiplicity 4)
Tb1 0.249 0.500 0.680 (multiplicity 4)
Ho1 0.000 0.500 0.500 (multiplicity 2)
Ho2 0.133 0.500 0.081 (multiplicity 4)

(4)
La3Tb2Ho8 after structural relaxation. Source: Alexandria, functional PBE.

calculated total energy: -0.3407 Ry per atom
energy of formation from the pure elements: 31 meV per atom
total magnetic moment: 0.000 μB/atom

a = 20.858 Å, b = 5.070 Å, c = 8.027 Å
α = 90.00°, β = 94.31°, γ = 90.00°
Space group C2/m (No. 12)
Symmetry-distinct sites (fractional):
La1 0.000 0.000 0.000 (multiplicity 2)
La2 0.039 0.500 0.305 (multiplicity 4)
Tb1 0.232 0.000 0.846 (multiplicity 4)
Ho1 0.080 0.000 0.613 (multiplicity 4)
Ho2 0.118 0.500 0.919 (multiplicity 4)
Ho3 0.157 0.000 0.231 (multiplicity 4)
Ho4 0.194 0.500 0.540 (multiplicity 4)